Entry from the Alexandria database: a geometry-optimized Hg2AsRh structure (GGA-PBE). Values from VASP.

Quantum ESPRESSO input file:
```
&SYSTEM
  ibrav = 0, nat = 4, ntyp = 3
/
ATOMIC_SPECIES
As 74.92 As.upf
Rh 102.91 Rh.upf
Hg 200.59 Hg.upf
CELL_PARAMETERS angstrom
-2.292 2.112 0.893
-3.656 -4.369 0.950
-0.576 -2.798 5.138
ATOMIC_POSITIONS angstrom
As -4.053 -3.868 4.629
Rh -2.204 -3.737 3.180
Hg -3.643 -4.355 0.948
Hg -2.395 -1.049 2.217
```

Values from the calculation:
The value obtained for the total magnetic moment is 0.00 μB per cell. The space group is Pm, No. 6. The calculation puts the formation energy at 0.018 eV per atom. For the density of states at the Fermi level, the calculation gives 1.497 states/eV/f.u.